# 1
Entry from Alexandria: an optimized crystal structure of CeHo2PuAs4 (PBE).

Computed properties:
For the calculated formation energy, the calculation gives -1377 meV per atom. The size of the total moment is 0.72 μB/atom. The value obtained for the total DFT energy (no corrections) is -7.379 eV per atom.

Lattice parameters (Å, degrees): 7.1656 4.1440 7.1682 90.00 109.56 90.00
Space group P2/m (No. 10)
Inequivalent atoms, fractional coordinates:
Ce: 0.0000 0.0000 0.0000 [1 per cell]
Ho: 0.5000 0.0000 0.5000 [1 per cell]
Ho: 0.5000 0.5000 0.0000 [1 per cell]
Pu: 0.0000 0.5000 0.5000 [1 per cell]
As: 0.2519 0.0000 0.7489 [2 per cell]
As: 0.2539 0.5000 0.2522 [2 per cell]

# 2
Entry from Alexandria: an optimized crystal structure of LaMn3Be (PBE).

Computed properties:
For the calculated formation energy, the calculation gives 2272 meV per atom. The size of the total moment is 0.00 μB/atom. The value obtained for the total DFT energy (no corrections) is -4.961 eV per atom.

Lattice parameters (Å, degrees): 4.4064 4.4064 4.4064 90.00 90.00 90.00
Space group Pm-3m (No. 221)
Inequivalent atoms, fractional coordinates:
La: 0.0000 0.0000 0.0000 [1 per cell]
Mn: 0.0000 0.0000 0.5000 [3 per cell]
Be: 0.5000 0.5000 0.5000 [1 per cell]

# 3
Entry from Alexandria: an optimized crystal structure of Dy2PuRh9 (PBE).

Computed properties:
For the calculated formation energy, the calculation gives -499 meV per atom. The size of the total moment is 0.37 μB/atom. The value obtained for the total DFT energy (no corrections) is -7.974 eV per atom.

Lattice parameters (Å, degrees): 5.2558 5.2558 26.3391 90.00 90.00 120.00
Space group R-3m (No. 166, hexagonal axes)
Inequivalent atoms, fractional coordinates:
Dy: 0.0000 0.0000 0.1390 [6 per cell]
Pu: 0.0000 0.0000 0.0000 [3 per cell]
Rh: 0.0000 0.0000 0.3333 [6 per cell]
Rh: 0.0000 0.0000 0.5000 [3 per cell]
Rh: 0.0007 0.5003 0.9170 [18 per cell]